No. 1
GGA-PBEsol SmMgZn2, relaxed; SG = Fm-3m (225); mass density = 6.42 g cm⁻³; E = -2.83 eV/atom
1.0
4.816 0.000 0.000
2.408 4.171 0.000
2.408 1.390 3.932
Zn Mg Sm
2 1 1
Cartesian
2.408 1.390 0.983
7.224 4.171 2.949
4.816 2.781 1.966
0.000 0.000 0.000

***

No. 2
GGA-PBEsol MgSn, relaxed; SG = P4/mmm (123); mass density = 5.11 g cm⁻³; E = -3.14 eV/atom
1.0
-3.055 -0.954 0.710
-0.432 -0.941 -3.110
1.464 -3.943 0.992
Sn Mg
1 1
Cartesian
-1.012 -2.919 -0.704
0.000 0.000 0.000

***

Which value of mass density does entry 2 give?
5.11 g cm⁻³

***

Which value of E does entry 1 give?
-2.83 eV/atom

***

Which of these has the highest mass density?
SmMgZn2